DFT (PBE) results for a relaxed structure of TaV2CoH.

```
TaV2CoH
1.0
-0.5787 2.2704 -2.7967
-0.1191 -2.8431 -2.2834
-4.2841 -0.3224 0.6248
H V Co Ta
1 2 1 1
Direct
0.0000 0.0000 0.0000
0.0000 0.5000 0.0000
0.5000 0.0000 0.0000
0.0000 0.0000 0.5000
0.5000 0.5000 0.5000
```

Summary:
Energy relative to the lowest polymorph listed for this composition in meV per atom: 3
V in Å³/atom: 11.56

---

DFT (PBE) results for a relaxed structure of TaV2CoH.

```
TaV2CoH
1.0
3.6639 0.0000 0.0000
0.0000 3.6639 0.0000
0.0000 0.0000 4.3237
H V Ta Co
1 2 1 1
Direct
0.0000 0.0000 0.0000
0.0000 0.5000 0.0000
0.5000 0.0000 0.0000
0.0000 0.0000 0.5000
0.5000 0.5000 0.5000
```

Summary:
Energy relative to the lowest polymorph listed for this composition in meV per atom: 0
V in Å³/atom: 11.61

---

DFT (PBE) results for a relaxed structure of TaVCo2H.

```
TaVCo2H
1.0
-0.0596 -1.1492 3.5417
0.6808 -3.4858 -1.1196
3.7716 0.6486 0.2739
V Co H Ta
1 2 1 1
Direct
0.0000 0.0000 0.5000
0.5000 0.0000 0.0000
0.0000 0.5000 0.0000
0.0000 0.0000 0.0000
0.5000 0.5000 0.5000
```

Summary:
Energy relative to the lowest polymorph listed for this composition in meV per atom: 0
V in Å³/atom: 10.64

---

DFT (PBE) results for a relaxed structure of TaCoHW2.

```
TaCoHW2
1.0
-3.0332 -2.7461 1.3641
1.8876 -3.1843 -2.2134
1.8987 -0.7540 2.7040
Ta H W Co
1 1 2 1
Direct
0.5000 0.5000 0.5000
0.0000 0.0000 0.0000
0.0000 0.5000 0.0000
0.5000 0.0000 0.0000
0.0000 0.0000 0.5000
```

Summary:
Raw total energy in hartree per atom: -0.34973
V in Å³/atom: 12.61

---

> Among the records above, which one has the highest V?

TaCoHW2